Entry from the Alexandria database: an optimized crystal structure of NaClF4 (GGA-PBE).

Calculated values
V = 16.19 Å³/atom
energy above the lowest structure with this stoichiometry = 0 meV/atom
calculated total energy = -3.151 eV/atom

a b c (Å): 5.016 5.016 5.016
angles (deg): 108.48 109.97 109.97
Fractional coordinates of all 6 atoms:
F (0.549, 0.274, 0.275)
F (0.001, 0.275, 0.726)
F (0.999, 0.725, 0.274)
F (0.451, 0.726, 0.725)
Cl (0.000, 0.500, 0.500)
Na (0.500, 0.250, 0.750)

Entry from the Alexandria database: an optimized crystal structure of Na2ClF6 (GGA-PBE).

Calculated values
V = 14.65 Å³/atom
energy above the lowest structure with this stoichiometry = 0 meV/atom
calculated total energy = -3.263 eV/atom

a b c (Å): 5.998 5.731 7.925
angles (deg): 90.00 104.56 90.00
Fractional coordinates of all 18 atoms:
F (0.190, 0.308, 0.076)
F (0.379, 0.762, 0.067)
F (0.879, 0.738, 0.567)
F (0.310, 0.808, 0.424)
F (0.810, 0.692, 0.924)
F (0.332, 0.549, 0.780)
F (0.690, 0.192, 0.576)
F (0.121, 0.262, 0.433)
F (0.832, 0.951, 0.280)
F (0.668, 0.451, 0.220)
F (0.621, 0.238, 0.933)
F (0.168, 0.049, 0.720)
Cl (0.500, 0.500, 0.000)
Cl (0.000, 0.000, 0.500)
Na (0.549, 0.886, 0.704)
Na (0.049, 0.614, 0.204)
Na (0.451, 0.114, 0.296)
Na (0.951, 0.386, 0.796)

Entry from the Alexandria database: an optimized crystal structure of NaCl2F (GGA-PBE).

Calculated values
V = 27.93 Å³/atom
energy above the lowest structure with this stoichiometry = 84 meV/atom
calculated total energy = -2.627 eV/atom

a b c (Å): 7.001 7.001 7.001
angles (deg): 37.07 37.07 37.07
Fractional coordinates of all 4 atoms:
Na (0.500, 0.500, 0.500)
F (0.000, 0.000, 0.000)
Cl (0.104, 0.104, 0.104)
Cl (0.896, 0.896, 0.896)

Entry from the Alexandria database: an optimized crystal structure of NaCl3F12 (GGA-PBE).

Calculated values
V = 17.44 Å³/atom
calculated total energy = -2.702 eV/atom

a b c (Å): 10.616 10.616 8.383
angles (deg): 50.72 50.72 60.00
Fractional coordinates of all 32 atoms:
Cl (0.825, 0.182, 0.516)
Cl (0.325, 0.977, 0.016)
Cl (0.682, 0.325, 0.016)
Cl (0.977, 0.682, 0.016)
Cl (0.182, 0.477, 0.516)
Cl (0.477, 0.825, 0.516)
F (0.081, 0.380, 0.520)
F (0.581, 0.519, 0.020)
F (0.019, 0.081, 0.520)
F (0.327, 0.148, 0.999)
F (0.148, 0.525, 0.999)
F (0.794, 0.141, 0.986)
F (0.835, 0.351, 0.503)
F (0.519, 0.880, 0.020)
F (0.641, 0.294, 0.486)
F (0.380, 0.019, 0.520)
F (0.335, 0.812, 0.003)
F (0.579, 0.641, 0.486)
F (0.079, 0.794, 0.986)
F (0.312, 0.835, 0.503)
F (0.851, 0.335, 0.003)
F (0.525, 0.327, 0.999)
F (0.827, 0.025, 0.499)
F (0.141, 0.079, 0.986)
F (0.812, 0.851, 0.003)
F (0.880, 0.581, 0.020)
F (0.351, 0.312, 0.503)
F (0.648, 0.827, 0.499)
F (0.025, 0.648, 0.499)
F (0.294, 0.579, 0.486)
Na (0.586, 0.586, 0.241)
Na (0.086, 0.086, 0.741)

Entry from the Alexandria database: an optimized crystal structure of NaClF (GGA-PBE).

Calculated values
V = 19.95 Å³/atom
energy above the lowest structure with this stoichiometry = 425 meV/atom
calculated total energy = -3.009 eV/atom

a b c (Å): 4.873 3.766 3.766
angles (deg): 120.00 90.00 90.00
Fractional coordinates of all 3 atoms:
F (0.499, 0.333, 0.667)
Na (0.501, 0.667, 0.333)
Cl (0.000, 0.000, 0.000)

Entry from the Alexandria database: an optimized crystal structure of Na3Cl2F (GGA-PBE).

Calculated values
V = 20.63 Å³/atom
energy above the lowest structure with this stoichiometry = 7 meV/atom
calculated total energy = -3.632 eV/atom

a b c (Å): 3.886 11.033 11.549
angles (deg): 90.00 90.00 90.00
Fractional coordinates of all 24 atoms:
Cl (0.750, 0.015, 0.338)
Cl (0.250, 0.485, 0.838)
Cl (0.750, 0.515, 0.162)
Cl (0.250, 0.985, 0.662)
Cl (0.750, 0.159, 0.978)
Cl (0.750, 0.659, 0.522)
Cl (0.250, 0.841, 0.022)
Cl (0.250, 0.341, 0.478)
Na (0.750, 0.777, 0.205)
Na (0.250, 0.723, 0.705)
Na (0.250, 0.223, 0.795)
Na (0.750, 0.637, 0.945)
Na (0.250, 0.863, 0.445)
Na (0.250, 0.363, 0.055)
Na (0.750, 0.137, 0.555)
Na (0.250, 0.563, 0.356)
Na (0.750, 0.437, 0.644)
Na (0.750, 0.277, 0.295)
Na (0.750, 0.937, 0.856)
Na (0.250, 0.063, 0.144)
F (0.250, 0.749, 0.293)
F (0.250, 0.249, 0.207)
F (0.750, 0.751, 0.793)
F (0.750, 0.251, 0.707)

Entry from the Alexandria database: an optimized crystal structure of NaCl2F (GGA-PBE).

Calculated values
V = 20.72 Å³/atom
energy above the lowest structure with this stoichiometry = 0 meV/atom
calculated total energy = -2.711 eV/atom

a b c (Å): 3.560 3.560 13.320
angles (deg): 82.32 82.32 90.00
Fractional coordinates of all 8 atoms:
Na (0.000, 0.000, 0.000)
Na (0.750, 0.250, 0.500)
F (0.250, 0.750, 0.500)
F (0.500, 0.500, 0.000)
Cl (0.625, 0.125, 0.250)
Cl (0.375, 0.375, 0.750)
Cl (0.125, 0.625, 0.250)
Cl (0.875, 0.875, 0.750)

Entry from the Alexandria database: an optimized crystal structure of NaClF3 (GGA-PBE).

Calculated values
V = 22.99 Å³/atom
energy above the lowest structure with this stoichiometry = 0 meV/atom
calculated total energy = -3.003 eV/atom

a b c (Å): 6.822 6.190 7.132
angles (deg): 115.72 118.57 90.00
Fractional coordinates of all 10 atoms:
F (0.131, 0.289, 0.726)
F (0.906, 0.064, 0.274)
F (0.631, 0.936, 0.726)
F (0.518, 0.269, 0.500)
F (0.406, 0.711, 0.274)
F (0.018, 0.731, 0.500)
Cl (0.018, 0.430, 0.500)
Cl (0.518, 0.570, 0.500)
Na (0.268, 0.000, 0.500)
Na (0.768, 0.000, 0.500)

Entry from the Alexandria database: an optimized crystal structure of NaCl2F8 (GGA-PBE).

Calculated values
V = 16.30 Å³/atom
energy above the lowest structure with this stoichiometry = 305 meV/atom
calculated total energy = -2.529 eV/atom

a b c (Å): 6.421 5.556 5.556
angles (deg): 79.62 72.45 72.45
Fractional coordinates of all 11 atoms:
Cl (0.416, 0.186, 0.186)
Cl (0.584, 0.814, 0.814)
F (0.711, 0.821, 0.165)
F (0.843, 0.660, 0.660)
F (0.546, 0.319, 0.319)
F (0.454, 0.681, 0.681)
F (0.289, 0.835, 0.179)
F (0.711, 0.165, 0.821)
F (0.157, 0.340, 0.340)
F (0.289, 0.179, 0.835)
Na (0.000, 0.000, 0.000)

Entry from the Alexandria database: an optimized crystal structure of NaCl2F8 (GGA-PBE).

Calculated values
V = 16.78 Å³/atom
energy above the lowest structure with this stoichiometry = 0 meV/atom
calculated total energy = -2.834 eV/atom

a b c (Å): 10.677 6.340 11.543
angles (deg): 62.37 62.45 32.65
Fractional coordinates of all 22 atoms:
Cl (0.682, 0.561, 0.559)
Cl (0.318, 0.439, 0.441)
Cl (0.801, 0.939, 0.941)
Cl (0.199, 0.061, 0.059)
F (0.400, 0.000, 0.942)
F (0.300, 0.351, 0.323)
F (0.804, 0.062, 0.052)
F (0.025, 0.851, 0.823)
F (0.196, 0.938, 0.948)
F (0.600, 0.000, 0.058)
F (0.193, 0.197, 0.168)
F (0.441, 0.697, 0.668)
F (0.343, 0.500, 0.558)
F (0.657, 0.500, 0.442)
F (0.918, 0.438, 0.448)
F (0.700, 0.649, 0.677)
F (0.807, 0.803, 0.832)
F (0.975, 0.149, 0.177)
F (0.082, 0.562, 0.552)
F (0.559, 0.303, 0.332)
Na (0.963, 0.750, 0.250)
Na (0.037, 0.250, 0.750)

Entry from the Alexandria database: an optimized crystal structure of NaClF3 (GGA-PBE).

Calculated values
V = 16.22 Å³/atom
energy above the lowest structure with this stoichiometry = 534 meV/atom
calculated total energy = -2.469 eV/atom

a b c (Å): 4.328 4.328 4.328
angles (deg): 90.00 90.00 90.00
Fractional coordinates of all 5 atoms:
Cl (0.500, 0.500, 0.500)
F (0.000, 0.000, 0.500)
F (0.000, 0.500, 0.000)
F (0.500, 0.000, 0.000)
Na (0.000, 0.000, 0.000)

Entry from the Alexandria database: an optimized crystal structure of Na12Cl3F5 (GGA-PBE).

Calculated values
V = 23.15 Å³/atom
calculated total energy = -3.231 eV/atom

a b c (Å): 13.400 13.400 13.400
angles (deg): 109.47 109.47 109.47
Fractional coordinates of all 80 atoms:
Na (0.079, 0.183, 0.196)
Na (0.383, 0.987, 0.804)
Na (0.987, 0.383, 0.304)
Na (0.117, 0.696, 0.513)
Na (0.579, 0.883, 0.396)
Na (0.183, 0.079, 0.696)
Na (0.921, 0.104, 0.617)
Na (0.487, 0.683, 0.104)
Na (0.383, 0.396, 0.079)
Na (0.396, 0.013, 0.317)
Na (0.513, 0.317, 0.896)
Na (0.696, 0.117, 0.013)
Na (0.817, 0.921, 0.304)
Na (0.396, 0.383, 0.579)
Na (0.013, 0.396, 0.817)
Na (0.604, 0.617, 0.421)
Na (0.804, 0.487, 0.383)
Na (0.304, 0.883, 0.987)
Na (0.117, 0.421, 0.104)
Na (0.617, 0.013, 0.196)
Na (0.804, 0.317, 0.921)
Na (0.079, 0.896, 0.383)
Na (0.987, 0.604, 0.183)
Na (0.421, 0.117, 0.604)
Na (0.487, 0.804, 0.883)
Na (0.304, 0.421, 0.817)
Na (0.104, 0.921, 0.117)
Na (0.317, 0.513, 0.396)
Na (0.683, 0.487, 0.604)
Na (0.421, 0.304, 0.317)
Na (0.617, 0.604, 0.921)
Na (0.317, 0.804, 0.421)
Na (0.104, 0.183, 0.487)
Na (0.683, 0.196, 0.579)
Na (0.817, 0.896, 0.013)
Na (0.883, 0.579, 0.896)
Na (0.579, 0.696, 0.683)
Na (0.513, 0.196, 0.117)
Na (0.183, 0.104, 0.987)
Na (0.196, 0.513, 0.617)
Na (0.604, 0.987, 0.683)
Na (0.896, 0.817, 0.513)
Na (0.013, 0.617, 0.696)
Na (0.196, 0.683, 0.079)
Na (0.896, 0.079, 0.883)
Na (0.696, 0.579, 0.183)
Na (0.883, 0.304, 0.487)
Na (0.921, 0.817, 0.804)
F (0.625, 0.875, 0.250)
F (0.750, 0.625, 0.375)
F (0.000, 0.000, 0.500)
F (0.500, 0.000, 0.500)
F (0.125, 0.750, 0.375)
F (0.625, 0.750, 0.875)
F (0.375, 0.250, 0.125)
F (0.250, 0.875, 0.125)
F (0.000, 0.000, 0.000)
F (0.000, 0.500, 0.000)
F (0.125, 0.375, 0.250)
F (0.750, 0.125, 0.875)
F (0.000, 0.500, 0.500)
F (0.875, 0.250, 0.625)
F (0.875, 0.625, 0.750)
F (0.250, 0.375, 0.625)
F (0.500, 0.500, 0.000)
F (0.500, 0.000, 0.000)
F (0.500, 0.500, 0.500)
F (0.375, 0.125, 0.750)
Cl (0.125, 0.250, 0.875)
Cl (0.750, 0.875, 0.625)
Cl (0.625, 0.250, 0.375)
Cl (0.875, 0.125, 0.250)
Cl (0.125, 0.875, 0.750)
Cl (0.750, 0.375, 0.125)
Cl (0.375, 0.750, 0.625)
Cl (0.375, 0.625, 0.250)
Cl (0.625, 0.375, 0.750)
Cl (0.250, 0.125, 0.375)
Cl (0.875, 0.750, 0.125)
Cl (0.250, 0.625, 0.875)

Entry from the Alexandria database: an optimized crystal structure of NaClF4 (GGA-PBE).

Calculated values
V = 15.70 Å³/atom
energy above the lowest structure with this stoichiometry = 17 meV/atom
calculated total energy = -3.134 eV/atom

a b c (Å): 5.840 5.840 6.844
angles (deg): 84.74 84.74 54.27
Fractional coordinates of all 12 atoms:
F (0.427, 0.927, 0.183)
F (0.073, 0.573, 0.317)
F (0.720, 0.220, 0.492)
F (0.573, 0.073, 0.817)
F (0.280, 0.780, 0.508)
F (0.220, 0.720, 0.992)
F (0.927, 0.427, 0.683)
F (0.780, 0.280, 0.008)
Cl (0.750, 0.250, 0.750)
Cl (0.250, 0.750, 0.250)
Na (0.500, 0.000, 0.500)
Na (0.000, 0.500, 0.000)

Entry from the Alexandria database: an optimized crystal structure of Na2ClF4 (GGA-PBE).

Calculated values
V = 14.48 Å³/atom
calculated total energy = -3.291 eV/atom

a b c (Å): 5.715 5.715 5.095
angles (deg): 124.12 124.12 90.00
Fractional coordinates of all 7 atoms:
F (0.244, 0.244, 0.000)
F (0.244, 0.756, 0.000)
F (0.756, 0.756, 0.000)
F (0.756, 0.244, 0.000)
Cl (0.500, 0.500, 0.000)
Na (0.750, 0.250, 0.500)
Na (0.250, 0.750, 0.500)

Entry from the Alexandria database: an optimized crystal structure of Na5Cl4F (GGA-PBE).

Calculated values
V = 21.32 Å³/atom
calculated total energy = -3.528 eV/atom

a b c (Å): 3.942 3.942 14.002
angles (deg): 98.09 98.09 90.00
Fractional coordinates of all 10 atoms:
Na (0.500, 0.500, 0.000)
Na (0.087, 0.087, 0.174)
Na (0.699, 0.699, 0.399)
Na (0.301, 0.301, 0.601)
Na (0.913, 0.913, 0.826)
Cl (0.595, 0.595, 0.191)
Cl (0.405, 0.405, 0.809)
Cl (0.803, 0.803, 0.606)
Cl (0.197, 0.197, 0.394)
F (0.000, 0.000, 0.000)

Entry from the Alexandria database: an optimized crystal structure of NaCl2F2 (GGA-PBE).

Calculated values
V = 20.52 Å³/atom
energy above the lowest structure with this stoichiometry = 151 meV/atom
calculated total energy = -2.424 eV/atom

a b c (Å): 4.872 4.872 5.528
angles (deg): 63.86 63.86 90.00
Fractional coordinates of all 5 atoms:
F (0.250, 0.750, 0.500)
F (0.750, 0.250, 0.500)
Cl (0.613, 0.613, 0.774)
Cl (0.387, 0.387, 0.226)
Na (0.000, 0.000, 0.000)

Entry from the Alexandria database: an optimized crystal structure of Na5ClF4 (GGA-PBE).

Calculated values
V = 15.40 Å³/atom
energy above the lowest structure with this stoichiometry = 30 meV/atom
calculated total energy = -4.060 eV/atom

a b c (Å): 3.554 3.554 12.448
angles (deg): 98.21 98.21 90.00
Fractional coordinates of all 10 atoms:
Na (0.889, 0.889, 0.777)
Na (0.703, 0.703, 0.406)
Na (0.500, 0.500, 0.000)
Na (0.111, 0.111, 0.223)
Na (0.297, 0.297, 0.594)
F (0.392, 0.392, 0.783)
F (0.796, 0.796, 0.593)
F (0.204, 0.204, 0.407)
F (0.608, 0.608, 0.217)
Cl (0.000, 0.000, 0.000)

Entry from the Alexandria database: an optimized crystal structure of Na5ClF4 (GGA-PBE).

Calculated values
V = 15.20 Å³/atom
energy above the lowest structure with this stoichiometry = 0 meV/atom
calculated total energy = -4.090 eV/atom

a b c (Å): 3.445 5.907 8.155
angles (deg): 75.54 77.81 73.05
Fractional coordinates of all 10 atoms:
F (0.814, 0.606, 0.766)
F (0.186, 0.394, 0.234)
F (0.602, 0.204, 0.591)
F (0.398, 0.796, 0.409)
Na (0.210, 0.902, 0.678)
Na (0.401, 0.346, 0.853)
Na (0.790, 0.098, 0.322)
Na (0.599, 0.654, 0.147)
Na (0.000, 0.500, 0.500)
Cl (0.000, 0.000, 0.000)